Density functional theory data (GGA+U) for a geometry-optimized Na2MnNi3F12 structure.

## Properties
The energy comes out at -4.490 eV per atom. Its symmetry is R-3m, No. 166.

Cell and atoms, written as CIF:
```
data_Na2MnNi3F12
_chemical_formula_sum 'Na2 Mn1 Ni3 F12'
_cell_length_a 7.3564
_cell_length_b 7.3564
_cell_length_c 7.3564
_cell_angle_alpha 57.13
_cell_angle_beta 57.13
_cell_angle_gamma 57.13
_space_group_name_H-M_alt 'P 1'
_space_group_IT_number 1
loop_
_space_group_symop_operation_xyz
'x,y,z'
loop_
_atom_site_label
_atom_site_fract_x
_atom_site_fract_y
_atom_site_fract_z
_atom_site_occupancy
Na1 0.0816 0.0816 0.0816 1
Na2 0.9184 0.9184 0.9184 1
Mn1 0.5000 0.5000 0.5000 1
Ni1 0.0000 0.5000 0.5000 1
Ni2 0.5000 0.0000 0.5000 1
Ni3 0.5000 0.5000 0.0000 1
F1 0.1593 0.1593 0.5872 1
F2 0.1593 0.5872 0.1593 1
F3 0.1950 0.5664 0.5664 1
F4 0.4128 0.8407 0.8407 1
F5 0.4336 0.4336 0.8050 1
F6 0.4336 0.8050 0.4336 1
F7 0.5664 0.1950 0.5664 1
F8 0.5664 0.5664 0.1950 1
F9 0.5872 0.1593 0.1593 1
F10 0.8050 0.4336 0.4336 1
F11 0.8407 0.4128 0.8407 1
F12 0.8407 0.8407 0.4128 1
```